# 1
Compound: Pm2SmTm4Sc
Source: Alexandria via LeMat-Bulk
Functional: PBE-GGA
Structure: relaxed

Geometry as POSCAR:
```
Pm2SmTm4Sc
1.0
-4.421 0.715 2.193
1.481 -2.755 3.883
4.996 5.382 8.317
Pm Sm Tm Sc
2 1 4 1
Direct
0.000 0.000 0.000
0.500 0.000 0.500
0.500 0.500 0.000
0.000 0.756 0.744
0.000 0.244 0.256
0.500 0.744 0.256
0.500 0.256 0.744
0.000 0.500 0.500
```

Calculated values
formation energy from the elements = 0.0366 eV per atom
density of states at the Fermi level = 12.18 states/eV/f.u.
magnetization = 0.0 μB per formula unit
crystal system = tetragonal
DFT total energy = -4.77 eV/atom

# 2
Compound: Sm4TlIr2
Source: Alexandria via LeMat-Bulk
Functional: PBE-GGA
Structure: relaxed

Geometry as POSCAR:
```
Sm4TlIr2
1.0
-3.055 2.224 2.081
-4.113 -1.286 -0.193
-0.626 -6.869 10.891
Sm Tl Ir
4 1 2
Direct
0.393 0.393 0.820
0.201 0.201 0.396
0.799 0.799 0.604
0.607 0.607 0.180
0.000 0.000 0.000
0.098 0.098 0.707
0.902 0.902 0.293
```

Calculated values
formation energy from the elements = -0.5256 eV per atom
density of states at the Fermi level = 5.61 states/eV/f.u.
magnetization = 0.0 μB per formula unit
crystal system = trigonal
DFT total energy = -6.09 eV/atom
distance to the lowest polymorph of the same formula = 0.000 eV/f.u.

# 3
Compound: NpNiGeIr
Source: Alexandria via LeMat-Bulk
Functional: PBE-GGA
Structure: relaxed

Geometry as POSCAR:
```
NpNiGeIr
1.0
4.530 0.000 0.000
2.265 3.923 0.000
2.265 1.308 3.699
Np Ni Ge Ir
1 1 1 1
Direct
0.250 0.250 0.250
0.000 0.000 0.000
0.500 0.500 0.500
0.750 0.750 0.750
```

Calculated values
formation energy from the elements = -0.0023 eV per atom
density of states at the Fermi level = 8.74 states/eV/f.u.
magnetization = 2.4 μB per formula unit
crystal system = cubic
DFT total energy = -8.05 eV/atom